(1)
The following is a DFT calculation (PBE-GGA) of an optimized crystal structure of Cs4Pr3HoS8.

Cell lengths 9.4602, 9.4602, 9.4602 Å; angles 53.21, 53.21, 53.21 degrees
Atoms (fractional coordinates):
Cs 0.0000 0.0000 0.0000
Cs 0.0000 0.5000 0.5000
Cs 0.5000 0.0000 0.5000
Cs 0.5000 0.5000 0.0000
Pr 0.0000 0.0000 0.5000
Pr 0.0000 0.5000 0.0000
Pr 0.5000 0.0000 0.0000
Ho 0.5000 0.5000 0.5000
S 0.2297 0.2297 0.2297
S 0.2384 0.7232 0.7232
S 0.2768 0.2768 0.7616
S 0.2768 0.7616 0.2768
S 0.7232 0.2384 0.7232
S 0.7232 0.7232 0.2384
S 0.7616 0.2768 0.2768
S 0.7703 0.7703 0.7703

Results
Crystal system = trigonal
Formation energy (no corrections) = -28.883 eV per formula unit

=====

(2)
The following is a DFT calculation (PBE-GGA) of an optimized crystal structure of Nb4Re3Mo.

Cell lengths 3.2089, 4.5446, 9.0944 Å; angles 90.00, 90.00, 90.00 degrees
Atoms (fractional coordinates):
Nb 0.0000 0.0000 0.0000
Nb 0.0000 0.0000 0.5000
Nb 0.0000 0.5000 0.2494
Nb 0.0000 0.5000 0.7506
Re 0.5000 0.0000 0.2485
Re 0.5000 0.0000 0.7515
Re 0.5000 0.5000 0.0000
Mo 0.5000 0.5000 0.5000

Results
Crystal system = orthorhombic
Energy relative to the elements = -0.2524 eV/atom

=====

(3)
The following is a DFT calculation (PBE-GGA) of an optimized crystal structure of Nd6Hg2C.

Cell lengths 7.1527, 7.1527, 11.7345 Å; angles 90.00, 90.00, 90.00 degrees
Atoms (fractional coordinates):
Nd 0.1908 0.1908 0.1498
Nd 0.1908 0.1908 0.8502
Nd 0.2440 0.7560 0.0000
Nd 0.2560 0.2560 0.5000
Nd 0.3092 0.6908 0.3502
Nd 0.3092 0.6908 0.6498
Nd 0.6908 0.3092 0.3502
Nd 0.6908 0.3092 0.6498
Nd 0.7440 0.7440 0.5000
Nd 0.7560 0.2440 0.0000
Nd 0.8092 0.8092 0.1498
Nd 0.8092 0.8092 0.8502
Hg 0.0000 0.0000 0.3594
Hg 0.0000 0.0000 0.6406
Hg 0.5000 0.5000 0.1406
Hg 0.5000 0.5000 0.8594
C 0.0000 0.0000 0.0000
C 0.5000 0.5000 0.5000

Results
Crystal system = tetragonal
Energy relative to the elements = -0.0264 eV/atom

=====

(4)
The following is a DFT calculation (PBE-GGA) of an optimized crystal structure of Co2Ir.

Cell lengths 4.4876, 4.4876, 4.4876 Å; angles 146.05, 132.79, 59.41 degrees
Atoms (fractional coordinates):
Co 0.1692 0.1692 0.0000
Co 0.8308 0.8308 0.0000
Ir 0.5000 0.5000 0.0000

Results
Crystal system = orthorhombic
Energy relative to the elements = 0.0582 eV/atom

=====

| no. | raw total energy (eV/atom) |
| --- | --- |
| 1 | -5.26 |
| 2 | -11.31 |
| 3 | -4.30 |
| 4 | -7.63 |